# PBE SrAgGe3, relaxed
data_SrAgGe3
_chemical_formula_sum 'Sr1 Ag1 Ge3'
_space_group_name_H-M_alt 'P m -3 m'
_space_group_IT_number 221
_space_group_name_Hall '-P 4 2 3'
_cell_length_a 5.119
_cell_length_b 5.119
_cell_length_c 5.119
_cell_angle_alpha 90.00
_cell_angle_beta 90.00
_cell_angle_gamma 90.00
loop_
_atom_site_label
_atom_site_fract_x
_atom_site_fract_y
_atom_site_fract_z
_atom_site_occupancy
Sr1 0.000 0.000 0.000 1
Ag1 0.500 0.500 0.500 1
Ge1 0.000 0.500 0.500 1
# ΔH_f (0 K) = 0.2208 eV/atom


# PBE Sr4AgGe, relaxed
data_Sr4AgGe
_chemical_formula_sum 'Sr4 Ag1 Ge1'
_space_group_name_H-M_alt 'P 4/m m m'
_space_group_IT_number 123
_space_group_name_Hall '-P 4 2'
_cell_length_a 5.425
_cell_length_b 5.425
_cell_length_c 7.916
_cell_angle_alpha 90.00
_cell_angle_beta 90.00
_cell_angle_gamma 90.00
loop_
_atom_site_label
_atom_site_fract_x
_atom_site_fract_y
_atom_site_fract_z
_atom_site_occupancy
Sr1 0.000 0.500 0.241 1
Ag1 0.000 0.000 0.500 1
Ge1 0.500 0.500 0.000 1
# ΔH_f (0 K) = -0.2809 eV/atom


# PBE SrAg5Ge2, relaxed
data_SrAg5Ge2
_chemical_formula_sum 'Sr2 Ag10 Ge4'
_space_group_name_H-M_alt 'I m m m'
_space_group_IT_number 71
_space_group_name_Hall '-I 2 2'
_cell_length_a 4.395
_cell_length_b 7.670
_cell_length_c 10.040
_cell_angle_alpha 90.00
_cell_angle_beta 90.00
_cell_angle_gamma 90.00
loop_
_atom_site_label
_atom_site_fract_x
_atom_site_fract_y
_atom_site_fract_z
_atom_site_occupancy
Sr1 0.000 0.000 0.000 1
Ag1 0.000 0.184 0.351 1
Ag2 0.000 0.500 0.000 1
Ge1 0.000 0.500 0.258 1
# ΔH_f (0 K) = -0.1273 eV/atom


# PBE Sr8Ag2Ge, relaxed
data_Sr8Ag2Ge
_chemical_formula_sum 'Sr16 Ag4 Ge2'
_space_group_name_H-M_alt 'C 1 m 1'
_space_group_IT_number 8
_space_group_name_Hall 'C -2y'
_cell_length_a 9.661
_cell_length_b 14.477
_cell_length_c 7.085
_cell_angle_alpha 90.00
_cell_angle_beta 110.85
_cell_angle_gamma 90.00
loop_
_atom_site_label
_atom_site_fract_x
_atom_site_fract_y
_atom_site_fract_z
_atom_site_occupancy
Sr1 0.000 0.000 0.000 1
Sr2 0.061 0.369 0.813 1
Sr3 0.141 0.129 0.600 1
Sr4 0.200 0.500 0.371 1
Sr5 0.357 0.200 0.197 1
Ag1 0.340 0.315 0.674 1
Ge1 0.350 0.000 0.976 1
# ΔH_f (0 K) = -0.1766 eV/atom


# PBE SrAg6Ge4, relaxed
data_SrAg6Ge4
_chemical_formula_sum 'Sr2 Ag12 Ge8'
_space_group_name_H-M_alt 'I -4 2 m'
_space_group_IT_number 121
_space_group_name_Hall 'I -4 2'
_cell_length_a 7.080
_cell_length_b 7.080
_cell_length_c 9.566
_cell_angle_alpha 90.00
_cell_angle_beta 90.00
_cell_angle_gamma 90.00
loop_
_atom_site_label
_atom_site_fract_x
_atom_site_fract_y
_atom_site_fract_z
_atom_site_occupancy
Sr1 0.000 0.000 0.000 1
Ag1 0.000 0.500 0.000 1
Ag2 0.154 0.154 0.620 1
Ge1 0.216 0.216 0.347 1
# ΔH_f (0 K) = 0.0627 eV/atom


# PBE SrAg3Ge3, relaxed
data_SrAg3Ge3
_chemical_formula_sum 'Sr2 Ag6 Ge6'
_space_group_name_H-M_alt 'P m -3 n'
_space_group_IT_number 223
_space_group_name_Hall '-P 4n 2 3'
_cell_length_a 7.190
_cell_length_b 7.190
_cell_length_c 7.190
_cell_angle_alpha 90.00
_cell_angle_beta 90.00
_cell_angle_gamma 90.00
loop_
_atom_site_label
_atom_site_fract_x
_atom_site_fract_y
_atom_site_fract_z
_atom_site_occupancy
Sr1 0.000 0.000 0.000 1
Ag1 0.000 0.250 0.500 1
Ge1 0.000 0.500 0.250 1
# ΔH_f (0 K) = 0.1487 eV/atom


# PBE SrAg4Ge, relaxed
data_SrAg4Ge
_chemical_formula_sum 'Sr4 Ag16 Ge4'
_space_group_name_H-M_alt 'F -4 3 m'
_space_group_IT_number 216
_space_group_name_Hall 'F -4 2 3'
_cell_length_a 8.021
_cell_length_b 8.021
_cell_length_c 8.021
_cell_angle_alpha 90.00
_cell_angle_beta 90.00
_cell_angle_gamma 90.00
loop_
_atom_site_label
_atom_site_fract_x
_atom_site_fract_y
_atom_site_fract_z
_atom_site_occupancy
Sr1 0.000 0.000 0.000 1
Ag1 0.125 0.125 0.625 1
Ge1 0.250 0.250 0.250 1
# ΔH_f (0 K) = -0.1252 eV/atom


# PBE SrAg2Ge, relaxed
data_SrAg2Ge
_chemical_formula_sum 'Sr4 Ag8 Ge4'
_space_group_name_H-M_alt 'I -4 2 d'
_space_group_IT_number 122
_space_group_name_Hall 'I -4 2bw'
_cell_length_a 5.153
_cell_length_b 5.153
_cell_length_c 17.415
_cell_angle_alpha 90.00
_cell_angle_beta 90.00
_cell_angle_gamma 90.00
loop_
_atom_site_label
_atom_site_fract_x
_atom_site_fract_y
_atom_site_fract_z
_atom_site_occupancy
Sr1 0.000 0.000 0.000 1
Ag1 0.082 0.250 0.625 1
Ge1 0.000 0.000 0.500 1
# ΔH_f (0 K) = -0.0836 eV/atom


# PBE SrTbAgGe, relaxed
data_SrTbAgGe
_chemical_formula_sum 'Sr4 Tb4 Ag4 Ge4'
_space_group_name_H-M_alt 'F -4 3 m'
_space_group_IT_number 216
_space_group_name_Hall 'F -4 2 3'
_cell_length_a 7.456
_cell_length_b 7.456
_cell_length_c 7.456
_cell_angle_alpha 90.00
_cell_angle_beta 90.00
_cell_angle_gamma 90.00
loop_
_atom_site_label
_atom_site_fract_x
_atom_site_fract_y
_atom_site_fract_z
_atom_site_occupancy
Sr1 0.000 0.000 0.000 1
Tb1 0.000 0.000 0.500 1
Ag1 0.250 0.250 0.250 1
Ge1 0.250 0.250 0.750 1
# ΔH_f (0 K) = -0.4445 eV/atom


# PBE SrTcAg2Ge, relaxed
data_SrTcAg2Ge
_chemical_formula_sum 'Sr1 Tc1 Ag2 Ge1'
_space_group_name_H-M_alt 'P 4/m m m'
_space_group_IT_number 123
_space_group_name_Hall '-P 4 2'
_cell_length_a 5.137
_cell_length_b 5.137
_cell_length_c 5.490
_cell_angle_alpha 90.00
_cell_angle_beta 90.00
_cell_angle_gamma 90.00
loop_
_atom_site_label
_atom_site_fract_x
_atom_site_fract_y
_atom_site_fract_z
_atom_site_occupancy
Sr1 0.000 0.000 0.000 1
Tc1 0.000 0.000 0.500 1
Ag1 0.000 0.500 0.500 1
Ge1 0.500 0.500 0.000 1
# ΔH_f (0 K) = 1.1585 eV/atom


# PBE SrTc2AgGe, relaxed
data_SrTc2AgGe
_chemical_formula_sum 'Sr1 Tc2 Ag1 Ge1'
_space_group_name_H-M_alt 'P 4/m m m'
_space_group_IT_number 123
_space_group_name_Hall '-P 4 2'
_cell_length_a 5.200
_cell_length_b 5.200
_cell_length_c 4.783
_cell_angle_alpha 90.00
_cell_angle_beta 90.00
_cell_angle_gamma 90.00
loop_
_atom_site_label
_atom_site_fract_x
_atom_site_fract_y
_atom_site_fract_z
_atom_site_occupancy
Sr1 0.000 0.000 0.000 1
Tc1 0.000 0.500 0.500 1
Ag1 0.500 0.500 0.500 1
Ge1 0.500 0.500 0.000 1
# ΔH_f (0 K) = 1.3861 eV/atom


# PBE SrAgGeTe3, relaxed
data_SrAgGeTe3
_chemical_formula_sum 'Sr2 Ag2 Ge2 Te6'
_space_group_name_H-M_alt 'P 1 21/m 1'
_space_group_IT_number 11
_space_group_name_Hall '-P 2yb'
_cell_length_a 8.952
_cell_length_b 4.277
_cell_length_c 9.791
_cell_angle_alpha 90.00
_cell_angle_beta 102.92
_cell_angle_gamma 90.00
loop_
_atom_site_label
_atom_site_fract_x
_atom_site_fract_y
_atom_site_fract_z
_atom_site_occupancy
Sr1 0.187 0.250 0.254 1
Ag1 0.069 0.250 0.589 1
Ge1 0.335 0.750 0.872 1
Te1 0.112 0.250 0.889 1
Te2 0.258 0.750 0.534 1
Te3 0.443 0.750 0.163 1
# formation energy (no corrections) = -0.54 eV per atom


# PBE SrTlAgGe, relaxed
data_SrTlAgGe
_chemical_formula_sum 'Sr4 Tl4 Ag4 Ge4'
_space_group_name_H-M_alt 'F -4 3 m'
_space_group_IT_number 216
_space_group_name_Hall 'F -4 2 3'
_cell_length_a 7.389
_cell_length_b 7.389
_cell_length_c 7.389
_cell_angle_alpha 90.00
_cell_angle_beta 90.00
_cell_angle_gamma 90.00
loop_
_atom_site_label
_atom_site_fract_x
_atom_site_fract_y
_atom_site_fract_z
_atom_site_occupancy
Sr1 0.000 0.000 0.000 1
Tl1 0.250 0.250 0.250 1
Ag1 0.000 0.000 0.500 1
Ge1 0.250 0.250 0.750 1
# ΔH_f (0 K) = -0.1449 eV/atom


# PBE SrTmAgGe, relaxed
data_SrTmAgGe
_chemical_formula_sum 'Sr4 Tm4 Ag4 Ge4'
_space_group_name_H-M_alt 'F -4 3 m'
_space_group_IT_number 216
_space_group_name_Hall 'F -4 2 3'
_cell_length_a 7.395
_cell_length_b 7.395
_cell_length_c 7.395
_cell_angle_alpha 90.00
_cell_angle_beta 90.00
_cell_angle_gamma 90.00
loop_
_atom_site_label
_atom_site_fract_x
_atom_site_fract_y
_atom_site_fract_z
_atom_site_occupancy
Sr1 0.000 0.000 0.000 1
Tm1 0.000 0.000 0.500 1
Ag1 0.250 0.250 0.750 1
Ge1 0.250 0.250 0.250 1
# ΔH_f (0 K) = -0.4222 eV/atom


# PBE Sr2ZnAg3Ge4, relaxed
data_Sr2ZnAg3Ge4
_chemical_formula_sum 'Sr2 Zn1 Ag3 Ge4'
_space_group_name_H-M_alt 'P -4 m 2'
_space_group_IT_number 115
_space_group_name_Hall 'P -4 -2'
_cell_length_a 4.436
_cell_length_b 4.436
_cell_length_c 11.193
_cell_angle_alpha 90.00
_cell_angle_beta 90.00
_cell_angle_gamma 90.00
loop_
_atom_site_label
_atom_site_fract_x
_atom_site_fract_y
_atom_site_fract_z
_atom_site_occupancy
Sr1 0.000 0.500 0.245 1
Zn1 0.500 0.500 0.000 1
Ag1 0.000 0.000 0.000 1
Ag2 0.000 0.500 0.637 1
Ge1 0.000 0.000 0.500 1
Ge2 0.000 0.500 0.869 1
Ge3 0.500 0.500 0.500 1
# ΔH_f (0 K) = -0.2994 eV/atom


# PBE Sr2Zn3AgGe4, relaxed
data_Sr2Zn3AgGe4
_chemical_formula_sum 'Sr2 Zn3 Ag1 Ge4'
_space_group_name_H-M_alt 'P -4 m 2'
_space_group_IT_number 115
_space_group_name_Hall 'P -4 -2'
_cell_length_a 4.433
_cell_length_b 4.433
_cell_length_c 10.803
_cell_angle_alpha 90.00
_cell_angle_beta 90.00
_cell_angle_gamma 90.00
loop_
_atom_site_label
_atom_site_fract_x
_atom_site_fract_y
_atom_site_fract_z
_atom_site_occupancy
Sr1 0.000 0.500 0.249 1
Zn1 0.000 0.000 0.000 1
Zn2 0.000 0.500 0.633 1
Ag1 0.500 0.500 0.000 1
Ge1 0.000 0.000 0.500 1
Ge2 0.000 0.500 0.864 1
Ge3 0.500 0.500 0.500 1
# ΔH_f (0 K) = -0.3523 eV/atom


# PBE Sr2ZnAg6Ge, relaxed
data_Sr2ZnAg6Ge
_chemical_formula_sum 'Sr4 Zn2 Ag12 Ge2'
_space_group_name_H-M_alt 'C 1 2/m 1'
_space_group_IT_number 12
_space_group_name_Hall '-C 2y'
_cell_length_a 13.000
_cell_length_b 5.722
_cell_length_c 8.900
_cell_angle_alpha 90.00
_cell_angle_beta 132.88
_cell_angle_gamma 90.00
loop_
_atom_site_label
_atom_site_fract_x
_atom_site_fract_y
_atom_site_fract_z
_atom_site_occupancy
Sr1 0.246 0.000 0.285 1
Zn1 0.000 0.000 0.500 1
Ag1 0.007 0.251 0.754 1
Ag2 0.248 0.000 0.897 1
Ge1 0.000 0.500 0.000 1
# ΔH_f (0 K) = -0.1443 eV/atom


# PBE TaAgGe2, relaxed
data_TaAgGe2
_chemical_formula_sum 'Ta4 Ag4 Ge8'
_space_group_name_H-M_alt 'I -4 2 d'
_space_group_IT_number 122
_space_group_name_Hall 'I -4 2bw'
_cell_length_a 7.107
_cell_length_b 7.107
_cell_length_c 5.942
_cell_angle_alpha 90.00
_cell_angle_beta 90.00
_cell_angle_gamma 90.00
loop_
_atom_site_label
_atom_site_fract_x
_atom_site_fract_y
_atom_site_fract_z
_atom_site_occupancy
Ta1 0.000 0.000 0.000 1
Ag1 0.000 0.000 0.500 1
Ge1 0.244 0.250 0.625 1
# ΔH_f (0 K) = 0.4885 eV/atom
# excess energy over the best structure of this formula in the dataset = 3.04 kcal/mol of atoms


# PBE Ta2Ag2Ge, relaxed
data_Ta2Ag2Ge
_chemical_formula_sum 'Ta4 Ag4 Ge2'
_space_group_name_H-M_alt 'I 4/m m m'
_space_group_IT_number 139
_space_group_name_Hall '-I 4 2'
_cell_length_a 3.602
_cell_length_b 3.602
_cell_length_c 14.727
_cell_angle_alpha 90.00
_cell_angle_beta 90.00
_cell_angle_gamma 90.00
loop_
_atom_site_label
_atom_site_fract_x
_atom_site_fract_y
_atom_site_fract_z
_atom_site_occupancy
Ta1 0.000 0.000 0.089 1
Ag1 0.000 0.500 0.250 1
Ge1 0.000 0.000 0.500 1
# ΔH_f (0 K) = 0.6164 eV/atom
# excess energy over the best structure of this formula in the dataset = 3.74 kcal/mol of atoms


# PBE Ta2AgGe2, relaxed
data_Ta2AgGe2
_chemical_formula_sum 'Ta4 Ag2 Ge4'
_space_group_name_H-M_alt 'P 4/m b m'
_space_group_IT_number 127
_space_group_name_Hall '-P 4 2ab'
_cell_length_a 7.842
_cell_length_b 7.842
_cell_length_c 2.943
_cell_angle_alpha 90.00
_cell_angle_beta 90.00
_cell_angle_gamma 90.00
loop_
_atom_site_label
_atom_site_fract_x
_atom_site_fract_y
_atom_site_fract_z
_atom_site_occupancy
Ta1 0.125 0.375 0.000 1
Ag1 0.000 0.000 0.000 1
Ge1 0.171 0.671 0.500 1
# ΔH_f (0 K) = 0.1199 eV/atom
# excess energy over the best structure of this formula in the dataset = 1.04 kcal/mol of atoms


Computed E_tot, in the same sequence as the records: -3.456 -2.647 -3.274 -2.338 -3.324 -3.292 -3.076 -3.084 -3.890 -3.315 -4.590 -3.639 -3.024 -3.828 -3.465 -3.203 -2.781 -5.496 -6.189 -7.038 eV/atom.